The following is a DFT calculation (PBE-GGA) of Tl3In3Pb8 after structural relaxation.

Geometry as CIF:
```
data_Tl3In3Pb8
_cell_length_a 5.205
_cell_length_b 12.426
_cell_length_c 13.807
_cell_angle_alpha 90.00
_cell_angle_beta 90.00
_cell_angle_gamma 90.00
_space_group_name_H-M_alt 'I m m m'
_space_group_IT_number 71
_space_group_name_Hall '-I 2 2'
loop_
_atom_site_label
_atom_site_fract_x
_atom_site_fract_y
_atom_site_fract_z
Tl1 0.000 0.000 0.000
Tl2 0.000 0.000 0.273
In1 0.000 0.141 0.500
In2 0.000 0.500 0.000
Pb1 0.000 0.292 0.151
Pb2 0.000 0.367 0.377
```

DFT formation energy: 0.04 eV/atom
spin magnetization: 0.00 μB/f.u.

=====

The following is a DFT calculation (PBE-GGA) of Pr3HSe2 after structural relaxation.

Geometry as CIF:
```
data_Pr3HSe2
_cell_length_a 4.026
_cell_length_b 6.020
_cell_length_c 12.333
_cell_angle_alpha 90.00
_cell_angle_beta 90.00
_cell_angle_gamma 90.00
_space_group_name_H-M_alt 'I m m m'
_space_group_IT_number 71
_space_group_name_Hall '-I 2 2'
loop_
_atom_site_label
_atom_site_fract_x
_atom_site_fract_y
_atom_site_fract_z
Pr1 0.000 0.000 0.000
Pr2 0.000 0.000 0.349
H1 0.000 0.500 0.000
Se1 0.000 0.500 0.325
```

spin magnetization: 0.00 μB/f.u.

=====

The following is a DFT calculation (PBE-GGA) of LiPm2GaO5 after structural relaxation.

Geometry as CIF:
```
data_LiPm2GaO5
_cell_length_a 6.658
_cell_length_b 6.658
_cell_length_c 5.756
_cell_angle_alpha 90.00
_cell_angle_beta 90.00
_cell_angle_gamma 90.00
_space_group_name_H-M_alt 'P 4/m b m'
_space_group_IT_number 127
_space_group_name_Hall '-P 4 2ab'
loop_
_atom_site_label
_atom_site_fract_x
_atom_site_fract_y
_atom_site_fract_z
Li1 0.000 0.000 0.000
Pm1 0.178 0.322 0.500
Ga1 0.000 0.500 0.000
O1 0.000 0.000 0.500
O2 0.137 0.637 0.239
```

spin magnetization: 0.00 μB/f.u.

=====

The following is a DFT calculation (PBE-GGA) of Zn5AgRh after structural relaxation.

Geometry as CIF:
```
data_Zn5AgRh
_cell_length_a 6.378
_cell_length_b 8.361
_cell_length_c 8.407
_cell_angle_alpha 90.00
_cell_angle_beta 90.00
_cell_angle_gamma 90.00
_space_group_name_H-M_alt 'I m m a'
_space_group_IT_number 74
_space_group_name_Hall '-I 2b 2'
loop_
_atom_site_label
_atom_site_fract_x
_atom_site_fract_y
_atom_site_fract_z
Zn1 0.000 0.250 0.212
Zn2 0.209 0.250 0.495
Zn3 0.250 0.006 0.250
Ag1 0.000 0.250 0.768
Rh1 0.000 0.000 0.000
```

DFT formation energy: -0.12 eV/atom
spin magnetization: 0.00 μB/f.u.

=====

The following is a DFT calculation (PBE-GGA) of Sr4Tc5 after structural relaxation.

Geometry as CIF:
```
data_Sr4Tc5
_cell_length_a 8.8054
_cell_length_b 8.8054
_cell_length_c 6.0061
_cell_angle_alpha 90.00
_cell_angle_beta 90.00
_cell_angle_gamma 120.00
_space_group_name_H-M_alt 'P 63/m c m'
_space_group_IT_number 193
_space_group_name_Hall '-P 6c 2'
loop_
_atom_site_label
_atom_site_fract_x
_atom_site_fract_y
_atom_site_fract_z
Sr1 0.0000 0.0000 0.0000
Sr2 0.0000 0.3242 0.2500
Tc1 0.0000 0.3758 0.7500
Tc2 0.3333 0.6667 0.0000
```

DFT formation energy: 1.37 eV/atom
spin magnetization: 7.11 μB/f.u.

=====

The following is a DFT calculation (PBE-GGA) of DyIn6Pd12 after structural relaxation.

Geometry as CIF:
```
data_DyIn6Pd12
_cell_length_a 11.3143
_cell_length_b 11.3143
_cell_length_c 9.6672
_cell_angle_alpha 90.00
_cell_angle_beta 90.00
_cell_angle_gamma 120.00
_space_group_name_H-M_alt 'R -3'
_space_group_IT_number 148
_space_group_name_Hall '-R 3'
loop_
_atom_site_label
_atom_site_fract_x
_atom_site_fract_y
_atom_site_fract_z
Dy1 0.0000 0.0000 0.0000
In1 0.0617 0.1831 0.7277
Pd1 0.0213 0.2647 0.9909
Pd2 0.0615 0.5142 0.1225
```

DFT formation energy: -0.34 eV/atom
spin magnetization: 0.00 μB/f.u.

=====

The following is a DFT calculation (PBE-GGA) of SrIn2Sb after structural relaxation.

Geometry as CIF:
```
data_SrIn2Sb
_cell_length_a 4.642
_cell_length_b 4.642
_cell_length_c 11.181
_cell_angle_alpha 90.00
_cell_angle_beta 90.00
_cell_angle_gamma 90.00
_space_group_name_H-M_alt 'I 4/m m m'
_space_group_IT_number 139
_space_group_name_Hall '-I 4 2'
loop_
_atom_site_label
_atom_site_fract_x
_atom_site_fract_y
_atom_site_fract_z
Sr1 0.000 0.000 0.000
In1 0.000 0.500 0.250
Sb1 0.000 0.000 0.500
```

spin magnetization: 0.00 μB/f.u.

=====

The following is a DFT calculation (PBE-GGA) of BaNaBeF6 after structural relaxation.

Geometry as CIF:
```
data_BaNaBeF6
_cell_length_a 5.4882
_cell_length_b 5.4882
_cell_length_c 5.3167
_cell_angle_alpha 90.00
_cell_angle_beta 90.00
_cell_angle_gamma 120.00
_space_group_name_H-M_alt 'P 3 1 2'
_space_group_IT_number 149
loop_
_space_group_symop_operation_xyz
'x,y,z'
'-y,x-y,z'
'-x+y,-x,z'
'-y,-x,-z'
'-x+y,y,-z'
'x,x-y,-z'
loop_
_atom_site_label
_atom_site_fract_x
_atom_site_fract_y
_atom_site_fract_z
Ba1 0.0000 0.0000 0.0000
Na1 0.3333 0.6667 0.5000
Be1 0.6667 0.3333 0.5000
F1 0.4065 0.0685 0.6924
```

spin magnetization: 1.05 μB/f.u.

=====

The following is a DFT calculation (PBE-GGA) of MgV2Cl after structural relaxation.

Geometry as CIF:
```
data_MgV2Cl
_cell_length_a 6.776
_cell_length_b 6.776
_cell_length_c 6.776
_cell_angle_alpha 90.00
_cell_angle_beta 90.00
_cell_angle_gamma 90.00
_space_group_name_H-M_alt 'F m -3 m'
_space_group_IT_number 225
_space_group_name_Hall '-F 4 2 3'
loop_
_atom_site_label
_atom_site_fract_x
_atom_site_fract_y
_atom_site_fract_z
Mg1 0.000 0.000 0.000
V1 0.250 0.250 0.250
Cl1 0.000 0.000 0.500
```

spin magnetization: 7.41 μB/f.u.
distance to the lowest polymorph of the same formula: 217 meV/atom

=====

The following is a DFT calculation (PBE-GGA) of Ta3GeAs after structural relaxation.

Geometry as CIF:
```
data_Ta3GeAs
_cell_length_a 4.739
_cell_length_b 4.739
_cell_length_c 4.739
_cell_angle_alpha 90.00
_cell_angle_beta 90.00
_cell_angle_gamma 90.00
_space_group_name_H-M_alt 'P m -3 m'
_space_group_IT_number 221
_space_group_name_Hall '-P 4 2 3'
loop_
_atom_site_label
_atom_site_fract_x
_atom_site_fract_y
_atom_site_fract_z
Ta1 0.000 0.000 0.500
Ge1 0.500 0.500 0.500
As1 0.000 0.000 0.000
```

DFT formation energy: 1.06 eV/atom
spin magnetization: 0.00 μB/f.u.
distance to the lowest polymorph of the same formula: 0 meV/atom

=====

The following is a DFT calculation (PBE-GGA) of MnAlPS2 after structural relaxation.

Geometry as CIF:
```
data_MnAlPS2
_cell_length_a 4.560
_cell_length_b 4.560
_cell_length_c 4.602
_cell_angle_alpha 90.00
_cell_angle_beta 90.00
_cell_angle_gamma 90.00
_space_group_name_H-M_alt 'P 4/m m m'
_space_group_IT_number 123
_space_group_name_Hall '-P 4 2'
loop_
_atom_site_label
_atom_site_fract_x
_atom_site_fract_y
_atom_site_fract_z
Mn1 0.000 0.000 0.000
Al1 0.500 0.500 0.500
P1 0.500 0.500 0.000
S1 0.000 0.500 0.500
```

spin magnetization: 0.34 μB/f.u.
distance to the lowest polymorph of the same formula: 580 meV/atom

=====

The following is a DFT calculation (PBE-GGA) of CaMoPd after structural relaxation.

Geometry as CIF:
```
data_CaMoPd
_cell_length_a 3.062
_cell_length_b 5.100
_cell_length_c 8.223
_cell_angle_alpha 71.96
_cell_angle_beta 86.44
_cell_angle_gamma 78.59
_space_group_name_H-M_alt 'P -1'
_space_group_IT_number 2
loop_
_space_group_symop_operation_xyz
'x,y,z'
'-x,-y,-z'
loop_
_atom_site_label
_atom_site_fract_x
_atom_site_fract_y
_atom_site_fract_z
Ca1 0.003 0.185 0.130
Mo1 0.188 0.191 0.500
Pd1 0.499 0.377 0.747
```

DFT formation energy: 0.01 eV/atom
spin magnetization: 0.00 μB/f.u.
distance to the lowest polymorph of the same formula: 113 meV/atom

=====

no.,E (eV/atom)
1,-3.171
2,-5.360
3,-6.829
4,-2.483
5,-5.137
6,-4.727
7,-3.175
8,-4.867
9,-4.550
10,-7.908
11,-4.460
12,-5.996